Tm7Sb2Te2 | PBE | relaxed

The structure in POSCAR format:
```
Tm7Sb2Te2
1.0
-2.2454 -1.5841 -6.3727
5.5602 -4.1061 -0.9381
-3.1237 -5.0508 3.5910
Tm Sb Te
7 2 2
direct
0.9998 0.2702 0.5003
0.5003 0.7298 0.9998
0.0002 0.7298 0.4997
0.4997 0.2702 0.0002
0.0000 0.0000 0.0000
0.5002 0.7356 0.4998
0.4998 0.2644 0.5002
0.8000 0.5000 0.8000
0.2000 0.5000 0.2000
0.7201 0.0000 0.2799
0.2799 0.0000 0.7201
```

**Total moment**: 0.00 μB per formula unit
**Electronic total energy**: -4.57 eV/atom
**SG**: Cmmm, No. 65
**E_form (uncorrected)**: -0.407 eV/atom